This record from Alexandria via LeMat-Bulk describes crystalline CsSeBr3 at its relaxed geometry. The functional is PBE-GGA.

raw formation energy = -1.2 eV/f.u.
total magnetization = 0.00 μB per cell
DFT total energy = -2.102 eV per atom

a b c (Å): 7.2981 7.2981 7.2981
angles (deg): 50.52 50.52 50.52
Closest atoms and distances in Å follow each position.
Fractional positions:
Cs 0.5132 0.5132 0.5132  1 Se 3.50, 3 Br 3.61
Se 0.3297 0.3297 0.3297  6 Br 3.13, 1 Cs 3.50
Br 0.8450 0.3421 0.8450  4 Br 3.10-3.13, 2 Se 3.13
Br 0.3421 0.8450 0.8450  4 Br 3.10-3.13, 2 Se 3.13
Br 0.8450 0.8450 0.3421  4 Br 3.10-3.13, 2 Se 3.13